Computed, not measured: a geometry-optimized Li8TmAu6 structure at the PBE level of DFT.

Results
E_form ... -0.461 eV/atom
Magnetization ... 0.0 μB per formula unit
Crystal system ... trigonal

Cell lengths 7.9712, 7.9712, 15.9751 Å; angles 90.00, 90.00, 120.00 degrees
Space group R-3 (No. 148, hexagonal axes)
One atom of each set of equivalent atoms:
Li 0.0000 0.0000 0.1598 x6
Li 0.0054 0.6912 0.7117 x18
Tm 0.0000 0.0000 0.5000 x3
Au 0.0029 0.3444 0.4524 x18